(1)
# YFeCo2 | the Open Quantum Materials Database | PBE | relaxed
# - size of the total moment (μB/cell) = 19.46
# - energy relative to the lowest polymorph listed for this composition (meV per atom) = 405.7
# - VASP energy (eV/atom) = -7.01
# - formation energy from the elements (meV/atom) = 238
data_YFeCo2
_cell_length_a 6.178
_cell_length_b 6.178
_cell_length_c 6.178
_cell_angle_alpha 90.00
_cell_angle_beta 90.00
_cell_angle_gamma 90.00
_space_group_name_H-M_alt 'F -4 3 m'
_space_group_IT_number 216
_space_group_name_Hall 'F -4 2 3'
loop_
_atom_site_label
_atom_site_fract_x
_atom_site_fract_y
_atom_site_fract_z
Y1 0.000 0.000 0.000
Fe1 0.250 0.250 0.250
Co1 0.000 0.000 0.500
Co2 0.250 0.250 0.750

(2)
# ZrZnFeCo | the Open Quantum Materials Database | PBE | relaxed
# - size of the total moment (μB/cell) = 3.37
# - energy relative to the lowest polymorph listed for this composition (meV per atom) = 0.0
# - VASP energy (eV/atom) = -6.41
# - formation energy from the elements (meV/atom) = -108
data_ZrZnFeCo
_cell_length_a 6.044
_cell_length_b 6.044
_cell_length_c 6.044
_cell_angle_alpha 90.00
_cell_angle_beta 90.00
_cell_angle_gamma 90.00
_space_group_name_H-M_alt 'F -4 3 m'
_space_group_IT_number 216
_space_group_name_Hall 'F -4 2 3'
loop_
_atom_site_label
_atom_site_fract_x
_atom_site_fract_y
_atom_site_fract_z
Zr1 0.000 0.000 0.000
Zn1 0.000 0.000 0.500
Fe1 0.250 0.250 0.250
Co1 0.250 0.250 0.750

(3)
# ZrZnFeCo | the Open Quantum Materials Database | PBE | relaxed
# - size of the total moment (μB/cell) = 17.56
# - energy relative to the lowest polymorph listed for this composition (meV per atom) = 90.4
# - VASP energy (eV/atom) = -6.32
# - formation energy from the elements (meV/atom) = -17
data_ZrZnFeCo
_cell_length_a 6.203
_cell_length_b 6.203
_cell_length_c 6.203
_cell_angle_alpha 90.00
_cell_angle_beta 90.00
_cell_angle_gamma 90.00
_space_group_name_H-M_alt 'F -4 3 m'
_space_group_IT_number 216
_space_group_name_Hall 'F -4 2 3'
loop_
_atom_site_label
_atom_site_fract_x
_atom_site_fract_y
_atom_site_fract_z
Zr1 0.000 0.000 0.000
Zn1 0.250 0.250 0.250
Fe1 0.000 0.000 0.500
Co1 0.250 0.250 0.750

(4)
# ZrZnFeCo | the Open Quantum Materials Database | PBE | relaxed
# - size of the total moment (μB/cell) = 15.42
# - energy relative to the lowest polymorph listed for this composition (meV per atom) = 127.6
# - VASP energy (eV/atom) = -6.29
# - formation energy from the elements (meV/atom) = 20
data_ZrZnFeCo
_cell_length_a 6.160
_cell_length_b 6.160
_cell_length_c 6.160
_cell_angle_alpha 90.00
_cell_angle_beta 90.00
_cell_angle_gamma 90.00
_space_group_name_H-M_alt 'F -4 3 m'
_space_group_IT_number 216
_space_group_name_Hall 'F -4 2 3'
loop_
_atom_site_label
_atom_site_fract_x
_atom_site_fract_y
_atom_site_fract_z
Zr1 0.000 0.000 0.000
Zn1 0.250 0.250 0.250
Fe1 0.250 0.250 0.750
Co1 0.000 0.000 0.500